(1)
{"formula": "BaSiP2", "functional": "PBE", "state": "relaxed", "lattice": [[4.082, 0.000, 0.000], [0.000, 4.405, 0.000], [-0.238, 0.000, 5.393]], "species": ["Ba", "Si", "P", "P"], "frac_coords": [[0.000, 0.000, 0.000], [0.447, 0.500, 0.689], [0.557, 0.000, 0.492], [0.923, 0.500, 0.466]], "raw_formation_energy_ev_per_fu": -1.3, "total_energy_ev_per_atom": -4.861}

=====

(2)
{"formula": "BaSiP2", "functional": "PBE", "state": "relaxed", "lattice": [[3.261, -3.280, 0.000], [3.261, 3.280, 0.000], [0.000, 0.000, 4.232]], "species": ["Ba", "Si", "P", "P"], "frac_coords": [[0.000, 0.000, 0.000], [0.500, 0.500, 0.000], [0.000, 0.500, 0.500], [0.500, 0.000, 0.500]], "raw_formation_energy_ev_per_fu": 0.9, "total_energy_ev_per_atom": -4.313}

=====

(3)
{"formula": "BaSiP2", "functional": "PBE", "state": "relaxed", "lattice": [[0.000, 3.579, 3.579], [3.579, 0.000, 3.579], [3.579, 3.579, 0.000]], "species": ["Ba", "Si", "P", "P"], "frac_coords": [[0.000, 0.000, 0.000], [0.250, 0.250, 0.250], [0.500, 0.500, 0.500], [0.750, 0.750, 0.750]], "raw_formation_energy_ev_per_fu": 1.8, "total_energy_ev_per_atom": -4.086}

=====

(4)
{"formula": "BaSiP2", "functional": "PBE", "state": "relaxed", "lattice": [[2.527, -2.772, 0.000], [2.527, 2.772, 0.000], [0.000, 0.000, 6.476]], "species": ["Ba", "Si", "P", "P"], "frac_coords": [[0.000, 0.000, 0.000], [0.500, 0.500, 0.630], [0.000, 0.000, 0.509], [0.500, 0.500, 0.293]], "raw_formation_energy_ev_per_fu": -0.1, "total_energy_ev_per_atom": -4.569}

=====

It is found that the density values, taken in the order of the records, are 3.89 4.17 4.12 4.16 g cm⁻³.